# KMg6AlO8

A relaxed KMg6AlO8 crystal (PBE, the Alexandria database).

Results
Theoretical density (Mg/m³): 3.33
E_tot (eV per atom): -5.741

Cell: 4.4778 4.4778 8.4463 Å, 90.00 90.00 90.00°
Closest atoms and distances in Å follow each position.
Space group P4/mmm (No. 123)
One atom of each set of equivalent atoms:
K1 0.0000 0.0000 0.0000  6 O 2.24-2.46
Mg1 0.0000 0.5000 0.2458  6 O 2.08-2.27
Mg2 0.5000 0.5000 0.0000  6 O 2.14-2.24
Mg3 0.5000 0.5000 0.5000  6 O 2.08-2.24
Al1 0.0000 0.0000 0.5000  2 O 1.76
O1 0.0000 0.0000 0.2913  1 Al 1.76
O2 0.0000 0.5000 0.0000  4 Mg 2.08-2.24, 2 K 2.24
O3 0.0000 0.5000 0.5000  4 Mg 2.15-2.24, 2 Al 2.24
O4 0.5000 0.5000 0.2535  6 Mg 2.08-2.24



# KMg4Al9Si9O36

A relaxed KMg4Al9Si9O36 crystal (PBE, the Alexandria database).

Results
N(E_F) (states/eV/atom): 0.00
Theoretical density (Mg/m³): 2.49
E_tot (eV per atom): -7.427

Cell: 9.5236 9.8413 9.8709 Å, 60.37 89.96 89.96°
Closest atoms and distances in Å follow each position.
Space group P1 (No. 1)
One atom of each set of equivalent atoms:
K1 0.0000 0.0000 0.0000  6 O 2.78-3.05
Mg1 0.3705 0.6705 0.6568  6 O 2.10-2.16
Mg2 0.3706 0.3387 0.3111  5 O 2.02-2.21
Mg3 0.8699 0.6708 0.6570  6 O 2.09-2.17
Mg4 0.8706 0.3395 0.3106  5 O 2.01-2.20
Al1 0.1205 0.6344 0.0946  4 O 1.73-1.77
Al2 0.1207 0.1202 0.2523  4 O 1.74-1.76
Al3 0.3703 0.5062 0.4849  4 O 1.77
Al4 0.3712 0.0047 0.4871  4 O 1.73-1.79
Al5 0.3714 0.5009 0.9903  4 O 1.73-1.81
Al6 0.6201 0.2607 0.0963  4 O 1.74
Al7 0.8691 0.5010 0.9902  4 O 1.73-1.81
Al8 0.8696 0.0052 0.4853  4 O 1.73-1.80
Al9 0.8700 0.5062 0.4850  4 O 1.77
Si1 0.1188 0.7387 0.3676  4 O 1.60-1.67
Si2 0.1197 0.2764 0.6066  4 O 1.63-1.65
Si3 0.1196 0.3831 0.8746  4 O 1.61-1.66
Si4 0.1195 0.9021 0.7183  4 O 1.60-1.66
Si5 0.6202 0.1059 0.6214  4 O 1.62-1.65
Si6 0.6200 0.3771 0.7192  4 O 1.58-1.66
Si7 0.6201 0.6262 0.2560  4 O 1.63-1.64
Si8 0.6199 0.7367 0.8849  4 O 1.64-1.65
Si9 0.6204 0.8881 0.3683  4 O 1.59-1.66
O1 0.1123 0.7083 0.2222  1 Si 1.61, 1 Al 1.74
O2 0.1133 0.9238 0.3001  1 Si 1.60, 1 Al 1.75
O3 0.1153 0.2330 0.0473  1 Si 1.61, 1 Al 1.76
O4 0.1145 0.7987 0.9048  1 Si 1.60, 1 Al 1.77
O5 0.1164 0.3136 0.7520  2 Si 1.65-1.66
O6 0.1166 0.0871 0.6790  2 Si 1.63-1.66
O7 0.2613 0.6568 0.4754  1 Si 1.67, 1 Al 1.77
O8 0.2621 0.3519 0.5028  1 Si 1.64, 1 Al 1.77
O9 0.2616 0.4909 0.8458  1 Si 1.65, 1 Al 1.81
O10 0.2615 0.8695 0.6424  1 Si 1.65, 1 Al 1.79
O11 0.2702 0.1460 0.3387  2 Al 1.73-1.74
O12 0.2698 0.5223 0.1246  2 Al 1.73-1.74
O13 0.4730 0.3481 0.1256  2 Al 1.73-1.74
O14 0.4791 0.4876 0.6384  1 Si 1.66, 1 Al 1.77
O15 0.4794 0.5186 0.3336  1 Si 1.64, 1 Al 1.77
O16 0.4792 0.6599 0.8519  1 Si 1.65, 1 Al 1.81
O17 0.4799 0.1337 0.5159  1 Si 1.63, 1 Al 1.77
O18 0.4795 0.8598 0.4787  1 Si 1.66, 1 Al 1.79
O19 0.6213 0.2350 0.6781  2 Si 1.62-1.64
O20 0.6209 0.7007 0.0668  2 Si 1.64-1.65
O21 0.6209 0.7615 0.3058  2 Si 1.63-1.64
O22 0.6210 0.9269 0.7715  2 Si 1.64-1.65
O23 0.6232 0.0602 0.2232  1 Si 1.59, 1 Al 1.74
O24 0.6225 0.3050 0.9023  1 Si 1.58, 1 Al 1.74
O25 0.7600 0.4884 0.6374  1 Si 1.66, 1 Al 1.77
O26 0.7605 0.1331 0.5159  1 Si 1.63, 1 Al 1.77
O27 0.7612 0.6604 0.8521  1 Si 1.65, 1 Al 1.81
O28 0.7611 0.8592 0.4789  1 Si 1.66, 1 Al 1.80
O29 0.7616 0.5198 0.3327  1 Si 1.64, 1 Al 1.77
O30 0.7666 0.3491 0.1255  2 Al 1.73-1.74
O31 0.9709 0.1476 0.3383  2 Al 1.73-1.75
O32 0.9722 0.5203 0.1244  2 Al 1.73-1.74
O33 0.9780 0.3524 0.5014  1 Si 1.64, 1 Al 1.77
O34 0.9784 0.4927 0.8447  1 Si 1.66, 1 Al 1.81
O35 0.9792 0.8696 0.6400  1 Si 1.65, 1 Al 1.78
O36 0.9796 0.6536 0.4806  1 Si 1.67, 1 Al 1.77



# KMg3AlSi3O12

A relaxed KMg3AlSi3O12 crystal (PBE, the Alexandria database).

Results
N(E_F) (states/eV/atom): 0.11
Theoretical density (Mg/m³): 2.65
E_tot (eV per atom): -6.820

Cell: 5.3659 5.3781 10.4877 Å, 84.40 80.74 60.72°
Closest atoms and distances in Å follow each position.
Space group P1 (No. 1)
One atom of each set of equivalent atoms:
K1 0.0000 0.0000 0.0000  3 O 2.78-2.79
Mg1 0.1990 0.6566 0.4584  6 O 2.01-2.24
Mg2 0.5325 0.9977 0.4634  6 O 2.02-2.19
Mg3 0.8407 0.3539 0.4632  6 O 2.01-2.15
Al1 0.2670 0.3249 0.1975  4 O 1.75-1.78
Si1 0.4318 0.3310 0.7356  4 O 1.62-1.67
Si2 0.6049 0.6662 0.1944  4 O 1.63-1.66
Si3 0.7659 0.6636 0.7358  4 O 1.62-1.67
O1 0.0823 0.4977 0.7929  2 Si 1.67
O2 0.1445 0.0102 0.5473  3 Mg 2.01-2.10
O3 0.2227 0.3277 0.3697  1 Al 1.78
O4 0.3968 0.5644 0.1441  1 Si 1.63, 1 Al 1.75
O5 0.4775 0.3427 0.5792  1 Si 1.62
O6 0.5168 0.9879 0.1365  1 Si 1.63, 1 Al 1.75
O7 0.5636 0.6677 0.3548  1 Si 1.66
O8 0.5802 0.9947 0.7913  2 Si 1.67
O9 0.5848 0.4911 0.7954  2 Si 1.66
O10 0.8103 0.6682 0.5794  1 Si 1.62
O11 0.8948 0.0043 0.3778  3 Mg 2.01-2.03
O12 0.9386 0.4497 0.1376  1 Si 1.63, 1 Al 1.75



# KMg8Al17Si19O72

A relaxed KMg8Al17Si19O72 crystal (PBE, the Alexandria database).

Results
N(E_F) (states/eV/atom): 0.00
Theoretical density (Mg/m³): 2.42
E_tot (eV per atom): -7.444

Cell: 9.9769 9.9970 18.8540 Å, 89.99 89.91 60.21°
Closest atoms and distances in Å follow each position.
Space group P1 (No. 1)
One atom of each set of equivalent atoms:
K1 0.0000 0.0000 0.0000  4 O 2.71-2.99
Mg1 0.3439 0.3044 0.0700  6 O 2.04-2.27
Mg2 0.3481 0.2986 0.5693  5 O 1.99-2.21
Mg3 0.3514 0.2940 0.3168  5 O 2.01-2.25
Mg4 0.3528 0.2953 0.8143  5 O 2.02-2.22
Mg5 0.6678 0.6358 0.5655  5 O 2.05-2.22
Mg6 0.6762 0.6400 0.3169  6 O 2.09-2.26
Mg7 0.6775 0.6396 0.8164  6 O 2.10-2.25
Mg8 0.6799 0.6333 0.0701  5 O 2.00-2.23
Al1 0.0082 0.4774 0.0690  4 O 1.75-1.80
Al2 0.1126 0.2432 0.6919  4 O 1.73-1.81
Al3 0.1161 0.2436 0.1943  4 O 1.74-1.82
Al4 0.2763 0.0708 0.4421  4 O 1.69-1.81
Al5 0.2768 0.6069 0.1913  4 O 1.72-1.79
Al6 0.2794 0.0728 0.9417  4 O 1.69-1.78
Al7 0.2814 0.6072 0.6907  4 O 1.71-1.79
Al8 0.5073 0.4620 0.5650  4 O 1.75-1.83
Al9 0.5079 0.4642 0.0672  4 O 1.74-1.81
Al10 0.5122 0.9746 0.3165  4 O 1.74-1.83
Al11 0.5154 0.9748 0.8164  4 O 1.74-1.83
Al12 0.6351 0.2373 0.9420  4 O 1.70-1.79
Al13 0.6351 0.2383 0.4423  4 O 1.70-1.79
Al14 0.6460 0.0773 0.1933  4 O 1.72-1.78
Al15 0.6477 0.0771 0.6917  4 O 1.72-1.78
Al16 0.9029 0.3482 0.4457  4 O 1.68-1.84
Al17 0.9032 0.3502 0.9443  4 O 1.70-1.84
Si1 0.0072 0.4827 0.5683  4 O 1.63-1.67
Si2 0.0077 0.4768 0.3196  4 O 1.63-1.68
Si3 0.0096 0.4763 0.8158  4 O 1.63-1.67
Si4 0.1015 0.6137 0.4438  4 O 1.61-1.66
Si5 0.1073 0.6054 0.9427  4 O 1.61-1.66
Si6 0.3770 0.7000 0.4417  4 O 1.58-1.70
Si7 0.3790 0.6990 0.9416  4 O 1.59-1.70
Si8 0.3865 0.8712 0.1928  4 O 1.59-1.72
Si9 0.3889 0.8724 0.6920  4 O 1.59-1.72
Si10 0.5059 0.4693 0.3166  4 O 1.62-1.68
Si11 0.5078 0.4693 0.8165  4 O 1.62-1.68
Si12 0.5165 0.9716 0.5671  4 O 1.61-1.68
Si13 0.5168 0.9718 0.0677  4 O 1.61-1.69
Si14 0.7382 0.8698 0.4409  4 O 1.58-1.70
Si15 0.7392 0.3515 0.6906  4 O 1.59-1.73
Si16 0.7410 0.3500 0.1917  4 O 1.59-1.73
Si17 0.7414 0.8653 0.9421  4 O 1.59-1.69
Si18 0.9086 0.7079 0.1945  4 O 1.59-1.70
Si19 0.9152 0.7093 0.6941  4 O 1.58-1.69
O1 0.0813 0.6762 0.1926  1 Si 1.59, 1 Al 1.72
O2 0.0860 0.6789 0.6970  1 Si 1.58, 1 Al 1.71
O3 0.0880 0.1987 0.9505  2 Al 1.69-1.71
O4 0.0896 0.2100 0.4487  2 Al 1.68-1.69
O5 0.1242 0.5078 0.3726  2 Si 1.65-1.68
O6 0.1247 0.5095 0.8680  2 Si 1.66-1.67
O7 0.1270 0.5096 0.5163  2 Si 1.66-1.67
O8 0.1358 0.3360 0.6143  1 Si 1.64, 1 Al 1.81
O9 0.1395 0.3351 0.2731  1 Si 1.63, 1 Al 1.82
O10 0.1418 0.3367 0.7678  1 Si 1.64, 1 Al 1.81
O11 0.1420 0.4969 0.0114  1 Si 1.61, 1 Al 1.80
O12 0.1503 0.3267 0.1193  2 Al 1.75-1.76
O13 0.2292 0.6700 0.9388  2 Si 1.64-1.66
O14 0.2327 0.6634 0.4423  2 Si 1.62-1.65
O15 0.2508 0.0476 0.1961  1 Si 1.60, 1 Al 1.74
O16 0.2554 0.0510 0.6922  1 Si 1.61, 1 Al 1.73
O17 0.3148 0.8802 0.9377  1 Si 1.59, 1 Al 1.78
O18 0.3196 0.8782 0.4364  1 Si 1.58, 1 Al 1.75
O19 0.3291 0.7488 0.1854  1 Si 1.59, 1 Al 1.74
O20 0.3318 0.7499 0.6863  1 Si 1.59, 1 Al 1.73
O21 0.3552 0.5003 0.2714  1 Si 1.62, 1 Al 1.79
O22 0.3594 0.4983 0.7701  1 Si 1.62, 1 Al 1.79
O23 0.3610 0.4752 0.6215  2 Al 1.74-1.76
O24 0.3619 0.4763 0.1222  2 Al 1.74
O25 0.3668 0.0880 0.5218  1 Si 1.61
O26 0.3676 0.1101 0.8701  2 Al 1.74-1.75
O27 0.3686 0.1084 0.3723  2 Al 1.74-1.75
O28 0.3712 0.0877 0.0199  1 Si 1.61, 1 Al 1.78
O29 0.4864 0.6215 0.0119  1 Si 1.64, 1 Al 1.81
O30 0.4871 0.6123 0.3694  2 Si 1.67-1.70
O31 0.4870 0.6220 0.5121  1 Si 1.65, 1 Al 1.81
O32 0.4896 0.6128 0.8690  2 Si 1.68-1.70
O33 0.4993 0.8454 0.1192  2 Si 1.67-1.72
O34 0.4997 0.3239 0.5106  2 Al 1.75
O35 0.5045 0.8299 0.2621  1 Si 1.67, 1 Al 1.81
O36 0.5041 0.8427 0.6193  2 Si 1.67-1.72
O37 0.5048 0.8324 0.7620  1 Si 1.67, 1 Al 1.80
O38 0.5078 0.3225 0.0123  2 Al 1.74-1.75
O39 0.5164 0.1147 0.2623  2 Al 1.74-1.75
O40 0.5227 0.1132 0.7625  2 Al 1.74-1.75
O41 0.5285 0.3236 0.8628  1 Si 1.62, 1 Al 1.79
O42 0.5302 0.3216 0.3622  1 Si 1.62, 1 Al 1.79
O43 0.5414 0.0942 0.6132  1 Si 1.62, 1 Al 1.78
O44 0.5454 0.0923 0.1131  1 Si 1.61, 1 Al 1.78
O45 0.6490 0.4584 0.2659  2 Si 1.68-1.73
O46 0.6498 0.4592 0.7653  2 Si 1.67-1.73
O47 0.6540 0.4654 0.6215  1 Si 1.66, 1 Al 1.83
O48 0.6563 0.4641 0.1224  1 Si 1.66, 1 Al 1.81
O49 0.6595 0.8409 0.5155  2 Si 1.68-1.70
O50 0.6605 0.8409 0.0159  2 Si 1.69
O51 0.6634 0.8276 0.3726  1 Si 1.65, 1 Al 1.83
O52 0.6662 0.8269 0.8724  1 Si 1.65, 1 Al 1.83
O53 0.7035 0.0418 0.4384  1 Si 1.58, 1 Al 1.73
O54 0.7112 0.0371 0.9400  1 Si 1.59, 1 Al 1.75
O55 0.7110 0.2085 0.6886  1 Si 1.59, 1 Al 1.72
O56 0.7121 0.2071 0.1885  1 Si 1.59, 1 Al 1.72
O57 0.7599 0.3056 0.4532  2 Al 1.68-1.70
O58 0.7819 0.2763 0.9468  2 Al 1.70
O59 0.7844 0.8840 0.6962  1 Si 1.58, 1 Al 1.73
O60 0.7848 0.8859 0.2012  1 Si 1.59, 1 Al 1.72
O61 0.8637 0.4839 0.0136  2 Al 1.76-1.77
O62 0.8717 0.6288 0.1258  1 Si 1.65, 1 Al 1.80
O63 0.8740 0.4794 0.5196  1 Si 1.63
O64 0.8759 0.4663 0.3672  1 Si 1.64, 1 Al 1.83
O65 0.8808 0.4605 0.8627  1 Si 1.63
O66 0.8862 0.6200 0.7639  2 Si 1.67-1.69
O67 0.8868 0.6203 0.2676  2 Si 1.66-1.70
O68 0.8901 0.6253 0.6220  2 Si 1.66-1.68
O69 0.9170 0.3057 0.6959  1 Si 1.60, 1 Al 1.73
O70 0.9192 0.3026 0.1969  1 Si 1.60, 1 Al 1.75
O71 0.9245 0.7522 0.4457  2 Si 1.61-1.63
O72 0.9298 0.7508 0.9465  2 Si 1.64-1.65



# KMg2AlPd

A relaxed KMg2AlPd crystal (PBE, the Alexandria database).

Results
N(E_F) (states/eV/atom): 0.40
Energy relative to the elements (eV/atom): -0.2055
Theoretical density (Mg/m³): 2.81
E_tot (eV per atom): -2.850

Cell: 5.1785 5.1785 4.8698 Å, 90.00 90.00 90.00°
Closest atoms and distances in Å follow each position.
Space group P4/mmm (No. 123)
One atom of each set of equivalent atoms:
K1 0.0000 0.0000 0.0000  8 Mg 3.55, 4 Al 3.66
Mg1 0.0000 0.5000 0.5000  2 Pd 2.59
Al1 0.5000 0.5000 0.0000  2 Pd 2.43
Pd1 0.5000 0.5000 0.5000  2 Al 2.43, 4 Mg 2.59



# KMg2AlPt

A relaxed KMg2AlPt crystal (PBE, the Alexandria database).

Results
N(E_F) (states/eV/atom): 0.30
Energy relative to the elements (eV/atom): -0.3703
Theoretical density (Mg/m³): 3.96
E_tot (eV per atom): -3.184

Cell: 5.1775 5.1775 4.8485 Å, 90.00 90.00 90.00°
Closest atoms and distances in Å follow each position.
Space group P4/mmm (No. 123)
One atom of each set of equivalent atoms:
K1 0.0000 0.0000 0.0000  8 Mg 3.55, 4 Al 3.66
Mg1 0.0000 0.5000 0.5000  2 Pt 2.59
Al1 0.5000 0.5000 0.0000  2 Pt 2.42
Pt1 0.5000 0.5000 0.5000  2 Al 2.42, 4 Mg 2.59